{
  "formula": "VInBrO4",
  "functional": "PBE+U",
  "state": "relaxed",
  "dft_energy_ev_per_atom": -5.90,
  "spacegroup": "No. 12",
  "vol_a3_per_fu": 116,
  "magnetic_moment_mub_per_cell": 0.0,
  "lattice": [[5.838, -3.056, 0.000], [5.838, 3.056, 0.000], [-1.567, 0.000, 6.495]],
  "species": ["V", "V", "In", "In", "Br", "Br", "O", "O", "O", "O", "O", "O", "O", "O"],
  "frac_coords": [[0.131, 0.131, 0.257], [0.869, 0.869, 0.743], [0.205, 0.205, 0.836], [0.795, 0.795, 0.164], [0.469, 0.469, 0.324], [0.531, 0.531, 0.676], [0.019, 0.019, 0.774], [0.047, 0.598, 0.877], [0.198, 0.198, 0.512], [0.402, 0.953, 0.123], [0.598, 0.047, 0.877], [0.802, 0.802, 0.488], [0.953, 0.402, 0.123], [0.981, 0.981, 0.226]]
}